No. 1
DFT (SCAN) results for a crystal of Ta2AsIr relaxed with PBEsol.

Unit cell a=4.7239 b=4.7239 c=3.0077 alpha=95.30 beta=95.30 gamma=104.55
With the nearest neighbours (Å) after each atom.
Fractional coordinates of all 4 atoms:
1 Ta 0.0000 0.5000 0.0000  4 Ir 2.68-2.91, 4 As 2.68-2.91, 2 Ta 2.89
2 Ta 0.5000 0.0000 0.0000  4 Ir 2.68-2.91, 4 As 2.68-2.91, 2 Ta 2.89
3 As 0.0000 0.0000 0.5000  8 Ta 2.68-2.91, 2 Ir 2.89
4 Ir 0.5000 0.5000 0.5000  8 Ta 2.68-2.91, 2 As 2.89

Summary:
ΔH_f (0 K)	-0.33	eV per atom
symmetry	No. 12
total moment	0.000	μB per atom
volume	64.2	Å³/cell

***

No. 2
DFT (SCAN) results for a crystal of TaAsIr3 relaxed with PBEsol.

Unit cell a=4.7200 b=4.7200 c=4.7200 alpha=90.00 beta=90.00 gamma=90.00
With the nearest neighbours (Å) after each atom.
Fractional coordinates of all 5 atoms:
1 Ta 0.0000 0.0000 0.0000  6 Ir 2.36
2 As 0.5000 0.5000 0.5000  12 Ir 3.34
3 Ir 0.0000 0.0000 0.5000  2 Ta 2.36
4 Ir 0.0000 0.5000 0.0000  2 Ta 2.36
5 Ir 0.5000 0.0000 0.0000  2 Ta 2.36

Summary:
ΔH_f (0 K)	1.74	eV per atom
symmetry	No. 221
total moment	0.000	μB per atom
volume	105.2	Å³/cell

***

No. 3
DFT (SCAN) results for a crystal of Ta2AsIr relaxed with PBEsol.

Unit cell a=5.2242 b=5.2242 c=5.2242 alpha=137.57 beta=137.57 gamma=61.56
With the nearest neighbours (Å) after each atom.
Fractional coordinates of all 4 atoms:
1 Ta 0.0000 0.0000 0.0000  4 As 2.67, 4 Ta 2.93, 4 Ir 2.93
2 Ta 0.7500 0.2500 0.5000  4 Ir 2.67, 4 As 2.93, 4 Ta 2.93
3 As 0.5000 0.5000 0.0000  8 Ta 2.67-2.93, 4 Ir 2.93
4 Ir 0.2500 0.7500 0.5000  8 Ta 2.67-2.93, 4 As 2.93

Summary:
ΔH_f (0 K)	-0.23	eV per atom
symmetry	No. 119
total moment	0.000	μB per atom
volume	64.2	Å³/cell

***

No. 4
DFT (SCAN) results for a crystal of TcAsIr2 relaxed with PBEsol.

Unit cell a=2.7869 b=4.0800 c=5.2099 alpha=90.00 beta=104.40 gamma=90.00
With the nearest neighbours (Å) after each atom.
Fractional coordinates of all 4 atoms:
1 Tc 0.0000 0.0000 0.0000  2 As 2.60, 8 Ir 2.77-2.79, 2 Tc 2.79
2 As 0.0000 0.0000 0.5000  4 Ir 2.50, 2 Tc 2.60, 2 As 2.79
3 Ir 0.3734 0.5000 0.7464  2 As 2.50, 3 Ir 2.56-2.79, 4 Tc 2.77-2.79
4 Ir 0.6266 0.5000 0.2536  2 As 2.50, 3 Ir 2.56-2.79, 4 Tc 2.77-2.79

Summary:
ΔH_f (0 K)	0.04	eV per atom
symmetry	No. 10
total moment	0.000	μB per atom
volume	57.4	Å³/cell

***

No. 5
DFT (SCAN) results for a crystal of TcAs4Ir relaxed with PBEsol.

Unit cell a=5.1982 b=5.1982 c=5.1982 alpha=60.00 beta=60.00 gamma=60.00
With the nearest neighbours (Å) after each atom.
Fractional coordinates of all 6 atoms:
1 Tc 0.0000 0.0000 0.0000  12 As 3.05, 4 Ir 3.18
2 As 0.1249 0.6250 0.6250  6 As 2.60
3 As 0.6250 0.1249 0.6250  6 As 2.60
4 As 0.6250 0.6250 0.1249  6 As 2.60
5 As 0.6250 0.6250 0.6250  6 As 2.60
6 Ir 0.2500 0.2500 0.2500  12 As 3.05, 4 Tc 3.18

Summary:
ΔH_f (0 K)	1.06	eV per atom
symmetry	No. 216
total moment	0.002	μB per atom
volume	99.3	Å³/cell

***

No. 6
DFT (SCAN) results for a crystal of TcAsIr2 relaxed with PBEsol.

Unit cell a=2.8365 b=2.8365 c=7.0732 alpha=90.00 beta=90.00 gamma=90.00
With the nearest neighbours (Å) after each atom.
Fractional coordinates of all 4 atoms:
1 Tc 0.0000 0.0000 0.0000  4 Ir 2.63, 4 As 2.66, 4 Tc 2.84
2 As 0.5000 0.5000 0.2479  4 Ir 2.58, 4 Tc 2.66, 4 As 2.84
3 Ir 0.0000 0.0000 0.4773  4 As 2.58, 8 Ir 2.83-2.84
4 Ir 0.5000 0.5000 0.7604  4 Tc 2.63, 8 Ir 2.83-2.84

Summary:
ΔH_f (0 K)	0.09	eV per atom
symmetry	No. 99
total moment	0.000	μB per atom
volume	56.9	Å³/cell

***

No. 7
DFT (SCAN) results for a crystal of Tc2AsIr relaxed with PBEsol.

Unit cell a=4.7642 b=4.7642 c=4.5209 alpha=93.71 beta=93.71 gamma=34.07
With the nearest neighbours (Å) after each atom.
Fractional coordinates of all 4 atoms:
1 Tc 0.0000 0.0000 0.0000  1 As 2.50, 4 Ir 2.62-2.73, 4 Tc 2.70-2.79
2 Tc 0.7280 0.7280 0.2553  4 As 2.59-2.73, 3 Ir 2.68-2.70, 5 Tc 2.70-2.80
3 As 0.2428 0.2428 0.7746  1 Ir 2.49, 5 Tc 2.50-2.73
4 Ir 0.4639 0.4639 0.4809  1 As 2.49, 7 Tc 2.62-2.73

Summary:
ΔH_f (0 K)	0.01	eV per atom
symmetry	No. 8
total moment	0.000	μB per atom
volume	57.4	Å³/cell

***

No. 8
DFT (SCAN) results for a crystal of Te3AsIr relaxed with PBEsol.

Unit cell a=5.1428 b=5.1428 c=5.1428 alpha=90.00 beta=90.00 gamma=90.00
With the nearest neighbours (Å) after each atom.
Fractional coordinates of all 5 atoms:
1 Te 0.0000 0.0000 0.5000  2 Ir 2.57
2 Te 0.0000 0.5000 0.0000  2 Ir 2.57
3 Te 0.5000 0.0000 0.0000  2 Ir 2.57
4 As 0.5000 0.5000 0.5000  12 Te 3.64
5 Ir 0.0000 0.0000 0.0000  6 Te 2.57

Summary:
formation energy from raw total energies	0.705	eV/atom
symmetry	No. 221
total moment	0.000	μB per atom
volume	136.0	Å³/cell

***

No. 9
DFT (SCAN) results for a crystal of Te2AsIr relaxed with PBEsol.

Unit cell a=3.0219 b=3.3982 c=8.2173 alpha=90.00 beta=90.00 gamma=90.00
With the nearest neighbours (Å) after each atom.
Fractional coordinates of all 4 atoms:
1 Te 0.0000 0.0000 0.2084  4 Ir 2.85, 2 Te 3.02
2 Te 0.0000 0.0000 0.7916  4 Ir 2.85, 2 Te 3.02
3 As 0.5000 0.5000 0.5000  2 As 3.02, 8 Te 3.30
4 Ir 0.5000 0.5000 0.0000  8 Te 2.85, 2 Ir 3.02

Summary:
formation energy from raw total energies	0.495	eV/atom
symmetry	No. 47
total moment	0.000	μB per atom
volume	84.4	Å³/cell

***

No. 10
DFT (SCAN) results for a crystal of TlAsIr relaxed with PBEsol.

Unit cell a=4.4161 b=4.4161 c=4.4161 alpha=60.00 beta=60.00 gamma=60.00
With the nearest neighbours (Å) after each atom.
Fractional coordinates of all 3 atoms:
1 Tl 0.0000 0.0000 0.0000  4 Ir 2.70
2 As 0.5000 0.5000 0.5000  4 Ir 2.70
3 Ir 0.7500 0.7500 0.7500  4 Tl 2.70, 4 As 2.70

Summary:
ΔH_f (0 K)	0.24	eV per atom
symmetry	No. 216
total moment	0.000	μB per atom
volume	60.9	Å³/cell

***

No. 11
DFT (SCAN) results for a crystal of Zr2TlAsIr relaxed with PBEsol.

Unit cell a=5.0005 b=5.0005 c=5.0207 alpha=90.00 beta=90.00 gamma=90.00
With the nearest neighbours (Å) after each atom.
Fractional coordinates of all 5 atoms:
1 Zr 0.0000 0.5000 0.0000  2 Ir 2.50
2 Zr 0.5000 0.0000 0.0000  2 Ir 2.50
3 Tl 0.0000 0.0000 0.5000  2 Ir 2.51
4 As 0.5000 0.5000 0.5000  4 Tl 3.54, 8 Zr 3.54
5 Ir 0.0000 0.0000 0.0000  4 Zr 2.50, 2 Tl 2.51

Summary:
ΔH_f (0 K)	0.05	eV per atom
symmetry	No. 123
total moment	0.000	μB per atom
volume	125.5	Å³/cell

***

No. 12
DFT (SCAN) results for a crystal of AsIrW2 relaxed with PBEsol.

Unit cell a=2.9214 b=2.9214 c=6.8996 alpha=90.00 beta=90.00 gamma=90.00
With the nearest neighbours (Å) after each atom.
Fractional coordinates of all 4 atoms:
1 As 0.0000 0.0000 0.0000  8 W 2.62, 4 As 2.92
2 Ir 0.0000 0.0000 0.5000  8 W 2.76, 4 Ir 2.92
3 W 0.5000 0.5000 0.2341  4 As 2.62, 4 Ir 2.76, 4 W 2.92
4 W 0.5000 0.5000 0.7659  4 As 2.62, 4 Ir 2.76, 4 W 2.92

Summary:
ΔH_f (0 K)	0.05	eV per atom
symmetry	No. 123
total moment	0.000	μB per atom
volume	58.9	Å³/cell